No. 1
Entry from Alexandria: a relaxed structure of BaSn3Te6Pb2 (PBE-GGA).

abc: 4.644 9.334 10.394
angles: 102.81 102.91 90.00
Element x y z (fractional)
1 Ba 0.500 0.000 0.000
2 Sn 0.500 0.500 0.000
3 Sn 0.834 0.173 0.667
4 Sn 0.166 0.827 0.333
5 Te 0.326 0.915 0.651
6 Te 0.666 0.589 0.331
7 Te 0.674 0.085 0.349
8 Te 0.000 0.268 0.000
9 Te 0.000 0.732 0.000
10 Te 0.334 0.411 0.669
11 Pb 0.833 0.668 0.665
12 Pb 0.167 0.332 0.335

Summary:
E_tot	-3.898	eV per atom
calculated density	6.50	Mg/m³
space-group type	C2/m, No. 12
ΔE_f (raw)	-0.55	eV per atom
crystal system	monoclinic

---

No. 2
Entry from Alexandria: a relaxed structure of BaTi2SnPb (PBE-GGA).

abc: 5.138 6.056 5.138
angles: 90.00 90.00 90.00
Element x y z (fractional)
1 Pb 0.500 0.500 0.500
2 Ti 0.000 0.000 0.500
3 Ti 0.500 0.000 0.000
4 Ba 0.000 0.000 0.000
5 Sn 0.000 0.500 0.000

Summary:
E_tot	-3.513	eV per atom
calculated density	5.81	Mg/m³
space-group type	P4/mmm, No. 123
crystal system	tetragonal
energy of formation from the pure elements	1.572	eV/atom

---

No. 3
Entry from Alexandria: a relaxed structure of BaTiSnPb2 (PBE-GGA).

abc: 5.476 5.476 5.405
angles: 90.00 90.00 90.00
Element x y z (fractional)
1 Pb 0.000 0.500 0.000
2 Pb 0.500 0.000 0.000
3 Ti 0.000 0.000 0.000
4 Ba 0.500 0.500 0.500
5 Sn 0.000 0.000 0.500

Summary:
E_tot	-4.521	eV per atom
calculated density	7.36	Mg/m³
space-group type	P4/mmm, No. 123
crystal system	tetragonal
energy of formation from the pure elements	-0.274	eV/atom

---

No. 4
Entry from Alexandria: a relaxed structure of Ba3Tl6Sn2Pb (PBE-GGA).

abc: 6.462 6.462 12.074
angles: 90.00 90.00 120.00
Element x y z (fractional)
1 Ba 0.333 0.667 0.566
2 Ba 0.667 0.333 0.434
3 Ba 0.000 0.000 0.000
4 Tl 0.662 0.831 0.259
5 Tl 0.169 0.338 0.259
6 Tl 0.169 0.831 0.259
7 Tl 0.831 0.662 0.741
8 Tl 0.338 0.169 0.741
9 Tl 0.831 0.169 0.741
10 Sn 0.667 0.333 0.133
11 Sn 0.333 0.667 0.867
12 Pb 0.000 0.000 0.500

Summary:
E_tot	-2.818	eV per atom
calculated density	7.92	Mg/m³
space-group type	P-3m1, No. 164
crystal system	trigonal
energy of formation from the pure elements	-0.178	eV/atom

---

No. 5
Entry from Alexandria: a relaxed structure of Ba2Tl6SnPb (PBE-GGA).

abc: 6.356 11.317 10.440
angles: 90.00 90.00 90.00
Element x y z (fractional)
1 Ba 0.500 0.721 0.253
2 Ba 0.000 0.279 0.753
3 Ba 0.500 0.721 0.747
4 Ba 0.000 0.279 0.247
5 Tl 0.500 0.096 0.250
6 Tl 0.500 0.096 0.750
7 Tl 0.000 0.904 0.250
8 Tl 0.000 0.904 0.750
9 Tl 0.250 0.999 0.500
10 Tl 0.750 0.999 0.500
11 Tl 0.247 0.506 0.500
12 Tl 0.753 0.506 0.500
13 Tl 0.747 0.494 0.000
14 Tl 0.253 0.494 0.000
15 Tl 0.250 0.001 0.000
16 Tl 0.750 0.001 0.000
17 Sn 0.000 0.737 0.500
18 Sn 0.500 0.263 0.000
19 Pb 0.500 0.270 0.500
20 Pb 0.000 0.730 0.000

Summary:
E_tot	-2.713	eV per atom
calculated density	8.08	Mg/m³
space-group type	Pmmn, No. 59
crystal system	orthorhombic
energy of formation from the pure elements	-0.137	eV/atom

---

No. 6
Entry from Alexandria: a relaxed structure of BaTlSn2Pb (PBE-GGA).

abc: 4.683 5.429 7.716
angles: 110.60 107.67 90.00
Element x y z (fractional)
1 Ba 0.446 0.446 0.893
2 Tl 0.831 0.831 0.662
3 Sn 0.703 0.203 0.406
4 Sn 0.056 0.056 0.112
5 Pb 0.176 0.676 0.352

Summary:
E_tot	-3.465	eV per atom
calculated density	7.52	Mg/m³
space-group type	Imm2, No. 44
crystal system	orthorhombic
energy of formation from the pure elements	-0.265	eV/atom

---

No. 7
Entry from Alexandria: a relaxed structure of BaTlSnPb (PBE-GGA).

abc: 5.774 5.774 5.774
angles: 60.00 60.00 60.00
Element x y z (fractional)
1 Pb 0.500 0.500 0.500
2 Tl 0.750 0.750 0.750
3 Ba 0.000 0.000 0.000
4 Sn 0.250 0.250 0.250

Summary:
E_tot	-3.285	eV per atom
calculated density	8.14	Mg/m³
space-group type	F-43m, No. 216
crystal system	cubic
energy of formation from the pure elements	-0.285	eV/atom

---

No. 8
Entry from Alexandria: a relaxed structure of Ba2Zn3Sn4Pb (PBE-GGA).

abc: 4.997 4.997 11.487
angles: 90.00 90.00 90.00
Element x y z (fractional)
1 Ba 0.500 0.000 0.243
2 Ba 0.000 0.500 0.757
3 Zn 0.000 0.000 0.500
4 Zn 0.500 0.000 0.878
5 Zn 0.000 0.500 0.122
6 Sn 0.500 0.500 0.000
7 Sn 0.000 0.000 0.000
8 Sn 0.500 0.000 0.643
9 Sn 0.000 0.500 0.357
10 Pb 0.500 0.500 0.500

Summary:
E_tot	-3.072	eV per atom
calculated density	6.67	Mg/m³
space-group type	P-4m2, No. 115
crystal system	tetragonal
energy of formation from the pure elements	-0.333	eV/atom

---

No. 9
Entry from Alexandria: a relaxed structure of Ba2Zn4Sn3Pb (PBE-GGA).

abc: 4.855 4.855 11.402
angles: 90.00 90.00 90.00
Element x y z (fractional)
1 Ba 0.500 0.000 0.237
2 Ba 0.000 0.500 0.763
3 Zn 0.500 0.500 0.000
4 Zn 0.000 0.000 0.000
5 Zn 0.500 0.000 0.639
6 Zn 0.000 0.500 0.361
7 Sn 0.000 0.000 0.500
8 Sn 0.500 0.000 0.876
9 Sn 0.000 0.500 0.124
10 Pb 0.500 0.500 0.500

Summary:
E_tot	-2.856	eV per atom
calculated density	6.80	Mg/m³
space-group type	P-4m2, No. 115
crystal system	tetragonal
energy of formation from the pure elements	-0.390	eV/atom

---

No. 10
Entry from Alexandria: a relaxed structure of Ba2SrPb (PBE-GGA).

abc: 6.307 6.307 6.307
angles: 60.00 60.00 60.00
Element x y z (fractional)
1 Ba 0.000 0.000 0.000
2 Ba 0.250 0.250 0.250
3 Pb 0.500 0.500 0.500
4 Sr 0.750 0.750 0.750

Summary:
E_tot	-2.463	eV per atom
calculated density	5.33	Mg/m³
space-group type	F-43m, No. 216
crystal system	cubic
energy of formation from the pure elements	-0.154	eV/atom

---

No. 11
Entry from Alexandria: a relaxed structure of Ba2SrPb (PBE-GGA).

abc: 4.160 4.160 11.445
angles: 90.00 90.00 90.00
Element x y z (fractional)
1 Ba 0.000 0.000 0.988
2 Ba 0.500 0.500 0.314
3 Pb 0.000 0.000 0.511
4 Sr 0.500 0.500 0.687

Summary:
E_tot	-2.575	eV per atom
calculated density	4.78	Mg/m³
space-group type	P4mm, No. 99
crystal system	tetragonal
energy of formation from the pure elements	-0.267	eV/atom

---

No. 12
Entry from Alexandria: a relaxed structure of Ba4SrPb (PBE-GGA).

abc: 7.610 7.610 7.610
angles: 60.00 60.00 60.00
Element x y z (fractional)
1 Ba 0.870 0.377 0.377
2 Ba 0.377 0.377 0.870
3 Ba 0.377 0.870 0.377
4 Ba 0.377 0.377 0.377
5 Sr 0.000 0.000 0.000
6 Pb 0.750 0.750 0.750

Summary:
E_tot	-2.012	eV per atom
calculated density	4.50	Mg/m³
space-group type	F-43m, No. 216
crystal system	cubic
energy of formation from the pure elements	0.168	eV/atom